Crystalline ThTaCo at its relaxed geometry, computed with PBE-GGA.

As for the raw total energy: -100.7 eV for the cell shown. The magnetization comes out at 0.67 μB per formula unit. The calculated formation energy is 0.397 eV/atom.

a = 6.3992 Å, b = 6.3992 Å, c = 6.3992 Å
α = 90.00°, β = 90.00°, γ = 90.00°
Positions (direct):
Th: 0.0000 0.0000 0.0000
Th: 0.0000 0.5000 0.5000
Th: 0.5000 0.0000 0.5000
Th: 0.5000 0.5000 0.0000
Ta: 0.0000 0.0000 0.5000
Ta: 0.0000 0.5000 0.0000
Ta: 0.5000 0.0000 0.0000
Ta: 0.5000 0.5000 0.5000
Co: 0.2500 0.2500 0.7500
Co: 0.2500 0.7500 0.2500
Co: 0.7500 0.2500 0.2500
Co: 0.7500 0.7500 0.7500

Crystalline KLaHgS3 at its relaxed geometry, computed with PBE-GGA.

As for the raw total energy: -52.6 eV for the cell shown. The magnetization comes out at 0.00 μB per formula unit.

a = 8.1494 Å, b = 4.2828 Å, c = 10.4148 Å
α = 90.00°, β = 104.27°, γ = 90.00°
Positions (direct):
K: 0.2396 0.2500 0.2211
K: 0.7604 0.7500 0.7789
La: 0.1960 0.7500 0.6303
La: 0.8040 0.2500 0.3697
Hg: 0.4045 0.2500 0.8864
Hg: 0.5955 0.7500 0.1136
S: 0.0364 0.7500 0.3583
S: 0.2586 0.7500 0.9466
S: 0.4451 0.2500 0.6545
S: 0.5549 0.7500 0.3455
S: 0.7414 0.2500 0.0534
S: 0.9636 0.2500 0.6417

Crystalline KSbPd at its relaxed geometry, computed with PBE-GGA.

As for the raw total energy: -41.8 eV for the cell shown.

a = 6.9141 Å, b = 6.9141 Å, c = 6.9141 Å
α = 90.00°, β = 90.00°, γ = 90.00°
Positions (direct):
K: 0.0000 0.0000 0.0000
K: 0.0000 0.5000 0.5000
K: 0.5000 0.0000 0.5000
K: 0.5000 0.5000 0.0000
Sb: 0.0000 0.0000 0.5000
Sb: 0.0000 0.5000 0.0000
Sb: 0.5000 0.0000 0.0000
Sb: 0.5000 0.5000 0.5000
Pd: 0.2500 0.2500 0.2500
Pd: 0.2500 0.7500 0.7500
Pd: 0.7500 0.2500 0.7500
Pd: 0.7500 0.7500 0.2500

Crystalline NdReBi at its relaxed geometry, computed with PBE-GGA.

As for the raw total energy: -74.9 eV for the cell shown. The magnetization comes out at 1.50 μB per formula unit. For the energy above the most stable polymorph in this dataset, the calculation gives 0 meV per atom.

a = 6.9259 Å, b = 6.9259 Å, c = 6.9259 Å
α = 90.00°, β = 90.00°, γ = 90.00°
Positions (direct):
Nd: 0.0000 0.0000 0.0000
Nd: 0.0000 0.5000 0.5000
Nd: 0.5000 0.0000 0.5000
Nd: 0.5000 0.5000 0.0000
Re: 0.0000 0.0000 0.5000
Re: 0.0000 0.5000 0.0000
Re: 0.5000 0.0000 0.0000
Re: 0.5000 0.5000 0.5000
Bi: 0.2500 0.2500 0.2500
Bi: 0.2500 0.7500 0.7500
Bi: 0.7500 0.2500 0.7500
Bi: 0.7500 0.7500 0.2500